(1)
Here is an optimized crystal structure of BaCuNi2 from the Alexandria database. Energies are from PBEsol.

Cell: 4.627 4.627 4.627 Å, 60.00 60.00 60.00°
Fractional coordinates of all 4 atoms:
1 Cu 0.250 0.250 0.250
2 Ni 0.750 0.750 0.750
3 Ni 0.000 0.000 0.000
4 Ba 0.500 0.500 0.500

energy of formation from the pure elements	716	meV/atom
density	7543	kg/m3
energy	-3.98	eV/atom

---

(2)
Here is an optimized crystal structure of BaCuNi2 from the Alexandria database. Energies are from PBEsol.

Cell: 4.006 4.478 4.773 Å, 98.89 90.00 90.00°
Fractional coordinates of all 4 atoms:
1 Ni 0.500 0.750 0.040
2 Ba 0.000 0.525 0.498
3 Cu 0.500 0.239 0.943
4 Ni 0.000 0.986 0.019

energy of formation from the pure elements	303	meV/atom
density	6248	kg/m3
energy	-4.40	eV/atom

---

(3)
Here is an optimized crystal structure of Ba2CuNi from the Alexandria database. Energies are from PBEsol.

Cell: 4.460 4.460 6.277 Å, 90.00 90.00 90.00°
Fractional coordinates of all 4 atoms:
1 Cu 0.000 0.000 0.377
2 Ba 0.500 0.500 0.374
3 Ba 0.000 0.000 0.876
4 Ni 0.500 0.500 0.873

energy of formation from the pure elements	315	meV/atom
density	5279	kg/m3
energy	-3.38	eV/atom